The following is a DFT calculation (PBE-GGA) of a relaxed TbEr5Cd4 crystal.

Summary:
Crystal system: tetragonal
Total moment in μB per formula unit: 0.0
D(E_F) in states/eV/f.u.: 12.8

abc: 3.650 3.650 20.218
angles: 90.00 90.00 90.00
Space group P4/mmm (No. 123)
Symmetry-distinct sites (fractional):
Tb: 0.000 0.000 0.000 x1
Er: 0.500 0.500 0.121 x2
Er: 0.500 0.500 0.312 x2
Er: 0.500 0.500 0.500 x1
Cd: 0.000 0.000 0.217 x2
Cd: 0.000 0.000 0.405 x2

The following is a DFT calculation (PBE-GGA) of a relaxed SrCdMo2Pd crystal.

Summary:
Crystal system: tetragonal
Total moment in μB per formula unit: 4.0
D(E_F) in states/eV/f.u.: 6.4

abc: 4.982 4.982 5.166
angles: 90.00 90.00 90.00
Space group P4/mmm (No. 123)
Symmetry-distinct sites (fractional):
Sr: 0.000 0.000 0.000 x1
Cd: 0.500 0.500 0.000 x1
Mo: 0.000 0.500 0.500 x2
Pd: 0.500 0.500 0.500 x1

The following is a DFT calculation (PBE-GGA) of a relaxed ReHg2Sb crystal.

Summary:
Crystal system: tetragonal
Formation energy (no corrections) in meV per atom: 874.6
Total moment in μB per formula unit: 0.0
D(E_F) in states/eV/f.u.: 2.7

abc: 4.079 4.079 9.770
angles: 90.00 90.00 90.00
Space group I4/mmm (No. 139)
Symmetry-distinct sites (fractional):
Re: 0.000 0.000 0.000 x2
Hg: 0.000 0.500 0.250 x4
Sb: 0.000 0.000 0.500 x2

The following is a DFT calculation (PBE-GGA) of a relaxed Be2TcPb crystal.

Summary:
Crystal system: tetragonal
Total moment in μB per formula unit: 0.0
D(E_F) in states/eV/f.u.: 2.0

abc: 3.203 3.203 5.620
angles: 90.00 90.00 90.00
Space group P4/mmm (No. 123)
Symmetry-distinct sites (fractional):
Be: 0.000 0.000 0.178 x2
Tc: 0.500 0.500 0.000 x1
Pb: 0.500 0.500 0.500 x1

The following is a DFT calculation (PBE-GGA) of a relaxed Cs2Mn2Be crystal.

Summary:
Crystal system: tetragonal
Total moment in μB per formula unit: 1.9
D(E_F) in states/eV/f.u.: 4.4

abc: 3.304 3.304 24.155
angles: 90.00 90.00 90.00
Space group I4/mmm (No. 139)
Symmetry-distinct sites (fractional):
Cs: 0.000 0.000 0.113 x4
Mn: 0.000 0.500 0.250 x4
Be: 0.000 0.000 0.500 x2

The following is a DFT calculation (PBE-GGA) of a relaxed Ni8Sb2As crystal.

Summary:
Crystal system: monoclinic
Formation energy (no corrections) in meV per atom: -102.5
Total moment in μB per formula unit: 0.0
D(E_F) in states/eV/f.u.: 8.5

abc: 15.861 4.018 4.764
angles: 90.00 101.44 90.00
Space group C2/m (No. 12)
Symmetry-distinct sites (fractional):
Ni: 0.028 0.000 0.270 x4
Ni: 0.076 0.500 0.636 x4
Ni: 0.149 0.500 0.203 x4
Ni: 0.246 0.000 0.161 x4
Sb: 0.171 0.000 0.611 x4
As: 0.000 0.500 0.000 x2

The following is a DFT calculation (PBE-GGA) of a relaxed KSbSI2 crystal.

Summary:
Energy above the lowest structure with this stoichiometry in meV/atom: 1397.2
Crystal system: tetragonal
Formation energy (no corrections) in meV per atom: 824.7
Total moment in μB per formula unit: 2.7
D(E_F) in states/eV/f.u.: 9.9

abc: 6.253 6.253 6.836
angles: 90.00 90.00 90.00
Space group P4/mmm (No. 123)
Symmetry-distinct sites (fractional):
K: 0.000 0.000 0.000 x1
Sb: 0.000 0.000 0.500 x1
S: 0.500 0.500 0.500 x1
I: 0.000 0.500 0.000 x2

The following is a DFT calculation (PBE-GGA) of a relaxed Rb4U3Te8Pb crystal.

Summary:
Crystal system: trigonal
Formation energy (no corrections) in meV per atom: -830.1
Total moment in μB per formula unit: 8.0
D(E_F) in states/eV/f.u.: 12.3

abc: 9.2866 9.2866 25.4700
angles: 90.00 90.00 120.00
Space group R-3m (No. 166, hexagonal axes)
Symmetry-distinct sites (fractional):
Rb: 0.0000 0.0000 0.0000 x3
Rb: 0.0000 0.5000 0.0000 x9
U: 0.0000 0.5000 0.5000 x9
Te: 0.0000 0.0000 0.2332 x6
Te: 0.0133 0.5067 0.7662 x18
Pb: 0.0000 0.0000 0.5000 x3

The following is a DFT calculation (PBE-GGA) of a relaxed RbTiBi2 crystal.

Summary:
Energy above the lowest structure with this stoichiometry in meV/atom: 128.0
Crystal system: tetragonal
Total moment in μB per formula unit: 0.0
D(E_F) in states/eV/f.u.: 1.7

abc: 6.934 6.934 16.259
angles: 90.00 90.00 90.00
Space group I-42d (No. 122)
Symmetry-distinct sites (fractional):
Rb: 0.000 0.000 0.000 x4
Ti: 0.000 0.000 0.500 x4
Bi: 0.013 0.250 0.625 x8

The following is a DFT calculation (PBE-GGA) of a relaxed Sc5Tl2Bi crystal.

Summary:
Crystal system: orthorhombic
Total moment in μB per formula unit: 0.0
D(E_F) in states/eV/f.u.: 7.1

abc: 6.458 12.472 4.819
angles: 90.00 90.00 90.00
Space group Pbam (No. 55)
Symmetry-distinct sites (fractional):
Sc: 0.000 0.000 0.000 x2
Sc: 0.149 0.390 0.500 x4
Sc: 0.153 0.738 0.000 x4
Tl: 0.101 0.151 0.500 x4
Bi: 0.000 0.500 0.000 x2

The following is a DFT calculation (PBE-GGA) of a relaxed Ba2CO4 crystal.

Summary:
Crystal system: monoclinic
Formation energy (no corrections) in meV per atom: -2213.9
Total moment in μB per formula unit: 0.0
D(E_F) in states/eV/f.u.: 0.0

abc: 5.659 5.480 7.783
angles: 90.00 100.05 90.00
Space group P2_1/m (No. 11)
Symmetry-distinct sites (fractional):
Ba: 0.229 0.250 0.028 x2
Ba: 0.260 0.250 0.530 x2
C: 0.204 0.750 0.773 x2
O: 0.057 0.540 0.733 x4
O: 0.297 0.750 0.954 x2
O: 0.392 0.750 0.671 x2

The following is a DFT calculation (PBE-GGA) of a relaxed MgIn2NiPb crystal.

Summary:
Crystal system: tetragonal
Total moment in μB per formula unit: 0.0
D(E_F) in states/eV/f.u.: 3.1

abc: 4.964 4.964 4.998
angles: 90.00 90.00 90.00
Space group P4/mmm (No. 123)
Symmetry-distinct sites (fractional):
Mg: 0.000 0.000 0.000 x1
In: 0.000 0.500 0.500 x2
Ni: 0.000 0.000 0.500 x1
Pb: 0.500 0.500 0.000 x1

The following is a DFT calculation (PBE-GGA) of a relaxed Sm6YEr2 crystal.

Summary:
Energy above the lowest structure with this stoichiometry in meV/atom: 0.0
Crystal system: triclinic
Total moment in μB per formula unit: 0.0
D(E_F) in states/eV/f.u.: 12.9

abc: 3.600 8.808 9.502
angles: 90.12 100.87 90.08
Space group P-1 (No. 2)
Symmetry-distinct sites (fractional):
Sm: 0.110 0.166 0.219 x2
Sm: 0.221 0.834 0.442 x2
Sm: 0.333 0.500 0.668 x2
Y: 0.000 0.500 0.000 x1
Er: 0.445 0.167 0.890 x2

The following is a DFT calculation (PBE-GGA) of a relaxed RbNaHg2Br6 crystal.

Summary:
Crystal system: triclinic
Formation energy (no corrections) in meV per atom: -918.5
Total moment in μB per formula unit: 0.0
D(E_F) in states/eV/f.u.: 0.0

abc: 7.662 7.663 9.156
angles: 65.27 65.28 60.01
Space group P1 (No. 1)
Symmetry-distinct sites (fractional):
Rb: 0.000 0.000 0.000 x1
Na: 0.500 0.500 0.500 x1
Hg: 0.237 0.237 0.291 x1
Hg: 0.763 0.763 0.711 x1
Br: 0.107 0.732 0.726 x1
Br: 0.264 0.567 0.277 x1
Br: 0.434 0.107 0.726 x1
Br: 0.567 0.893 0.278 x1
Br: 0.735 0.434 0.725 x1
Br: 0.893 0.262 0.278 x1

Asked for DFT total energy across the records above, the calculation gives -3.35; -4.76; -3.42; -5.14; -3.42; -5.48; -1.66; -4.99; -4.16; -5.36; -6.91; -3.30; -4.86; -2.21 eV/atom in order.